Record 1
Ca2Pm2Ho, optimized geometry, DFT PBE; SG = I4/mmm, No. 139; E_form = 189.1 kJ/mol of formula units
1.0
-2.302 2.302 8.775
2.302 -2.302 8.775
2.302 2.302 -8.775
Ca Pm Ho
2 2 1
Direct
0.250 0.750 0.500
0.750 0.250 0.500
0.088 0.088 0.000
0.912 0.912 0.000
0.500 0.500 0.000

***

Record 2
CaPm2Ho, optimized geometry, DFT PBE; SG = R3m, No. 160; E_form = 16.6 kJ/mol of formula units
1.0
1.819 1.050 12.163
-1.819 1.050 12.163
0.000 -2.101 12.163
Ca Pm Ho
1 2 1
Direct
0.000 0.000 0.000
0.245 0.245 0.245
0.422 0.422 0.422
0.834 0.834 0.834

***

Summary of Fermi-level density of states in states/eV/f.u.
7.4; 5.2
(order as listed above)
Summary of energy in eV/atom
-3.22; -3.98
(order as listed above)